A geometry-optimized SmSbH structure. Source: Alexandria, functional GGA-PBE.

Results
SG: No. 139
Total magnetization in μB per atom: 0.00
Energy in eV per atom: -4.5948

POSCAR file:
```
SmSbH
1.0
4.296 -0.006 0.002
0.005 4.296 0.002
2.147 2.142 7.199
Sb H Sm
2 2 2
Direct
0.404 0.844 0.108
0.904 0.344 0.108
0.654 0.094 0.608
0.154 0.594 0.609
0.238 0.178 0.442
0.571 0.511 0.775
```